Record 1
## Ba2Ga6TcPd (PBE)

Data for Ba2Ga6TcPd after structural relaxation.

Lattice parameters (Å, degrees): 7.091 7.091 7.091 56.69 56.69 56.69
Positions (direct):
Ba 0.214 0.214 0.214
Ba 0.786 0.786 0.786
Ga 0.251 0.251 0.671
Ga 0.251 0.671 0.251
Ga 0.329 0.749 0.749
Ga 0.671 0.251 0.251
Ga 0.749 0.329 0.749
Ga 0.749 0.749 0.329
Tc 0.000 0.000 0.000
Pd 0.500 0.500 0.500

## Properties
Its density of states at the Fermi level is 4.08 states/eV per cell. The space-group type is R-3m. The value obtained for the energy of formation is -4.29 eV per formula unit.

Record 2
## Ac2DyAl (PBE)

Data for Ac2DyAl after structural relaxation.

Lattice parameters (Å, degrees): 12.425 12.425 12.425 17.29 17.29 17.29
Positions (direct):
Ac 0.099 0.099 0.099
Ac 0.901 0.901 0.901
Dy 0.000 0.000 0.000
Al 0.500 0.500 0.500

## Properties
Its polymorph energy (0 for the lowest one) is 0.311 eV/atom. Its density of states at the Fermi level is 6.04 states/eV per cell. The space-group type is R-3m. The value obtained for the energy of formation is 1.04 eV per formula unit.

The highest energy of formation belongs to which entry? Ac2DyAl

Which of these has the highest energy of formation? Ac2DyAl

Look up the energy of formation of the second one. 1.04 eV per formula unit

Look up the energy of formation of the second one. 1.04 eV per formula unit